The following is a DFT calculation (GGA-PBEsol) of crystalline CsInRhS2 at its relaxed geometry.

Properties
Spin magnetization: 0.0 Bohr magnetons per cell
N(E_F): 1.007 states/eV/atom
Crystal system: tetragonal
Energy relative to the elements, uncorrected: 0.118 eV/atom

Lattice parameters (Å, degrees): 4.8077 4.8077 5.3104 90.00 90.00 90.00
Last column: nearest neighbours and their distance in Å.
Element x y z (fractional)
S 0.5000 0.0000 0.0000  2 Rh 2.40
S 0.0000 0.5000 0.0000  2 Rh 2.40
In 0.5000 0.5000 0.5000  4 Cs 3.40, 8 S 3.58
Cs 0.0000 0.0000 0.5000  2 Rh 2.66
Rh 0.0000 0.0000 0.0000  4 S 2.40, 2 Cs 2.66

The following is a DFT calculation (GGA-PBEsol) of crystalline CsInSb2Rh at its relaxed geometry.

Properties
Spin magnetization: 0.0 Bohr magnetons per cell
N(E_F): 1.149 states/eV/atom
Crystal system: tetragonal
Energy relative to the elements, uncorrected: 1.627 eV/atom

Lattice parameters (Å, degrees): 4.9204 6.0766 6.0766 90.00 90.00 90.00
Last column: nearest neighbours and their distance in Å.
Element x y z (fractional)
Cs 0.0000 0.0000 0.0000  2 Rh 2.46
In 0.5000 0.5000 0.5000  8 Sb 3.91, 4 Rh 4.30
Sb 0.0000 0.5000 0.0000  2 Cs 3.04
Sb 0.0000 0.0000 0.5000  2 Cs 3.04
Rh 0.5000 0.0000 0.0000  2 Cs 2.46

The following is a DFT calculation (GGA-PBEsol) of crystalline CsInRhSe2 at its relaxed geometry.

Properties
Spin magnetization: 1.1 Bohr magnetons per cell
N(E_F): 1.147 states/eV/atom
Crystal system: tetragonal
Energy relative to the elements, uncorrected: 0.241 eV/atom

Lattice parameters (Å, degrees): 5.0811 5.3710 5.3710 90.00 90.00 90.00
Last column: nearest neighbours and their distance in Å.
Element x y z (fractional)
In 0.0000 0.0000 0.0000  2 Rh 2.54, 4 Se 2.69
Rh 0.5000 0.0000 0.0000  2 In 2.54
Se 0.0000 0.5000 0.0000  2 In 2.69
Se 0.0000 0.0000 0.5000  2 In 2.69
Cs 0.5000 0.5000 0.5000  8 Se 3.70, 4 Rh 3.80

The following is a DFT calculation (GGA-PBEsol) of crystalline CsIn3Ru at its relaxed geometry.

Properties
Spin magnetization: 0.0 Bohr magnetons per cell
N(E_F): 0.244 states/eV/atom
Energy of formation from the pure elements: -0.098 eV per atom
Crystal system: cubic

Lattice parameters (Å, degrees): 5.2140 5.2140 5.2140 90.00 90.00 90.00
Last column: nearest neighbours and their distance in Å.
Element x y z (fractional)
Cs 0.5000 0.5000 0.5000  12 In 3.69
In 0.5000 0.0000 0.0000  2 Ru 2.61
In 0.0000 0.0000 0.5000  2 Ru 2.61
In 0.0000 0.5000 0.0000  2 Ru 2.61
Ru 0.0000 0.0000 0.0000  6 In 2.61